# 1
Ac4Tl5Pd6 | GGA-PBE | relaxed

Geometry as CIF:
```
data_Ac4Tl5Pd6
_chemical_formula_sum 'Ac8 Tl10 Pd12'
_cell_length_a 4.2010
_cell_length_b 11.5659
_cell_length_c 16.6139
_cell_angle_alpha 90.00
_cell_angle_beta 90.00
_cell_angle_gamma 100.46
_space_group_name_H-M_alt 'P 1'
_space_group_IT_number 1
_space_group_name_Hall 'P 1'
loop_
_atom_site_label
_atom_site_type_symbol
_atom_site_fract_x
_atom_site_fract_y
_atom_site_fract_z
Ac1 Ac 0.9369 0.8737 0.2661
Ac2 Ac 0.0631 0.1263 0.7661
Ac3 Ac 0.1275 0.2550 0.2957
Ac4 Ac 0.8725 0.7450 0.7957
Ac5 Ac 0.8178 0.6355 0.4629
Ac6 Ac 0.1822 0.3645 0.9629
Ac7 Ac 0.0093 0.0187 0.5045
Ac8 Ac 0.9907 0.9813 0.0045
Tl1 Tl 0.4624 0.9248 0.6693
Tl2 Tl 0.5376 0.0752 0.1693
Tl3 Tl 0.1712 0.3424 0.6078
Tl4 Tl 0.8288 0.6576 0.1078
Tl5 Tl 0.6351 0.2702 0.4611
Tl6 Tl 0.3649 0.7298 0.9611
Tl7 Tl 0.3031 0.6062 0.6456
Tl8 Tl 0.6969 0.3938 0.1456
Tl9 Tl 0.3065 0.6130 0.2827
Tl10 Tl 0.6935 0.3870 0.7827
Pd1 Pd 0.7270 0.4541 0.3217
Pd2 Pd 0.4141 0.8282 0.4089
Pd3 Pd 0.7809 0.5618 0.9439
Pd4 Pd 0.2191 0.4382 0.4439
Pd5 Pd 0.4696 0.9392 0.8514
Pd6 Pd 0.5304 0.0608 0.3514
Pd7 Pd 0.4180 0.8359 0.1212
Pd8 Pd 0.5820 0.1641 0.6212
Pd9 Pd 0.1099 0.2197 0.1126
Pd10 Pd 0.8901 0.7803 0.6126
Pd11 Pd 0.5859 0.1718 0.9089
Pd12 Pd 0.2730 0.5459 0.8217
```

total energy	-4.500	eV/atom
SG	Cmc2_1
DOS at the Fermi energy	8.16	states/eV/f.u.

# 2
Sc2Ga4Tc3 | GGA-PBE | relaxed

Geometry as CIF:
```
data_Sc2Ga4Tc3
_chemical_formula_sum 'Sc4 Ga8 Tc6'
_cell_length_a 6.7144
_cell_length_b 6.8058
_cell_length_c 6.8204
_cell_angle_alpha 90.00
_cell_angle_beta 90.00
_cell_angle_gamma 109.67
_space_group_name_H-M_alt 'P 1'
_space_group_IT_number 1
_space_group_name_Hall 'P 1'
loop_
_atom_site_label
_atom_site_type_symbol
_atom_site_fract_x
_atom_site_fract_y
_atom_site_fract_z
Sc1 Sc 0.5504 0.1871 0.3335
Sc2 Sc 0.9496 0.8129 0.8335
Sc3 Sc 0.4496 0.8129 0.6665
Sc4 Sc 0.0504 0.1871 0.1665
Ga1 Ga 0.8585 0.0870 0.5406
Ga2 Ga 0.6415 0.9130 0.0406
Ga3 Ga 0.1415 0.9130 0.4594
Ga4 Ga 0.3585 0.0870 0.9594
Ga5 Ga 0.8627 0.4945 0.1366
Ga6 Ga 0.6373 0.5055 0.6366
Ga7 Ga 0.1373 0.5055 0.8634
Ga8 Ga 0.3627 0.4945 0.3634
Tc1 Tc 0.0000 0.5000 0.5000
Tc2 Tc 0.5000 0.5000 0.0000
Tc3 Tc 0.7488 0.2505 0.8349
Tc4 Tc 0.7512 0.7495 0.3349
Tc5 Tc 0.2512 0.7495 0.1651
Tc6 Tc 0.2488 0.2505 0.6651
```

total energy	-6.657	eV/atom
SG	P2_1/c
offset from the most stable computed form	0	meV per atom
DOS at the Fermi energy	4.93	states/eV/f.u.

Q: The lowest DOS at the Fermi energy belongs to which entry?
A: Sc2Ga4Tc3

Copy entry 2 word for word.
Sc2Ga4Tc3 | GGA-PBE | relaxed

Geometry as CIF:
```
data_Sc2Ga4Tc3
_chemical_formula_sum 'Sc4 Ga8 Tc6'
_cell_length_a 6.7144
_cell_length_b 6.8058
_cell_length_c 6.8204
_cell_angle_alpha 90.00
_cell_angle_beta 90.00
_cell_angle_gamma 109.67
_space_group_name_H-M_alt 'P 1'
_space_group_IT_number 1
_space_group_name_Hall 'P 1'
loop_
_atom_site_label
_atom_site_type_symbol
_atom_site_fract_x
_atom_site_fract_y
_atom_site_fract_z
Sc1 Sc 0.5504 0.1871 0.3335
Sc2 Sc 0.9496 0.8129 0.8335
Sc3 Sc 0.4496 0.8129 0.6665
Sc4 Sc 0.0504 0.1871 0.1665
Ga1 Ga 0.8585 0.0870 0.5406
Ga2 Ga 0.6415 0.9130 0.0406
Ga3 Ga 0.1415 0.9130 0.4594
Ga4 Ga 0.3585 0.0870 0.9594
Ga5 Ga 0.8627 0.4945 0.1366
Ga6 Ga 0.6373 0.5055 0.6366
Ga7 Ga 0.1373 0.5055 0.8634
Ga8 Ga 0.3627 0.4945 0.3634
Tc1 Tc 0.0000 0.5000 0.5000
Tc2 Tc 0.5000 0.5000 0.0000
Tc3 Tc 0.7488 0.2505 0.8349
Tc4 Tc 0.7512 0.7495 0.3349
Tc5 Tc 0.2512 0.7495 0.1651
Tc6 Tc 0.2488 0.2505 0.6651
```

total energy	-6.657	eV/atom
SG	P2_1/c
offset from the most stable computed form	0	meV per atom
DOS at the Fermi energy	4.93	states/eV/f.u.

Q: What is the DOS at the Fermi energy in the first record?
A: 8.16 states/eV/f.u.